! PrTiN2 (GGA-PBE, optimized geometry); values from VASP
! Raw formation energy, eV per atom: -1.26
! Space-group type: Pmm2, No. 25
! Total DFT energy (no corrections), eV/cell: -34.3
&SYSTEM
  ibrav = 0, nat = 4, ntyp = 3
/
ATOMIC_SPECIES
N 14.01 N.upf
Ti 47.87 Ti.upf
Pr 140.91 Pr.upf
CELL_PARAMETERS angstrom
-3.561 1.639 0.896
-1.392 -3.261 0.434
2.411 3.345 3.463
ATOMIC_POSITIONS crystal
N 0.061 0.020 0.972
Ti 0.060 0.597 0.473
N 0.561 0.673 0.472
Pr 0.561 0.595 0.972

***

! PrTiN (GGA-PBE, optimized geometry); values from VASP
! Raw formation energy, eV per atom: -0.75
! Space-group type: Cmcm, No. 63
! Total DFT energy (no corrections), eV/cell: -46.5
&SYSTEM
  ibrav = 0, nat = 6, ntyp = 3
/
ATOMIC_SPECIES
Ti 47.87 Ti.upf
Pr 140.91 Pr.upf
N 14.01 N.upf
CELL_PARAMETERS angstrom
3.002 0.000 0.000
-1.501 5.593 0.000
0.000 0.000 5.993
ATOMIC_POSITIONS crystal
Ti 0.500 0.000 0.000
Pr 0.765 0.531 0.250
Ti 0.500 0.000 0.500
N 0.991 0.982 0.750
N 0.009 0.018 0.250
Pr 0.235 0.469 0.750

***

! PrTi4N6 (GGA-PBE, optimized geometry); values from VASP
! Raw formation energy, eV per atom: -1.49
! Space-group type: Cmcm, No. 63
! Total DFT energy (no corrections), eV/cell: -205.4
&SYSTEM
  ibrav = 0, nat = 22, ntyp = 3
/
ATOMIC_SPECIES
N 14.01 N.upf
Pr 140.91 Pr.upf
Ti 47.87 Ti.upf
CELL_PARAMETERS angstrom
3.077 0.000 0.000
-1.539 5.033 0.000
0.000 0.000 15.659
ATOMIC_POSITIONS crystal
N 0.500 0.000 0.000
N 0.233 0.466 0.584
Pr 0.347 0.693 0.750
Ti 0.870 0.740 0.547
N 0.968 0.935 0.849
Ti 0.395 0.790 0.131
Ti 0.605 0.210 0.869
N 0.767 0.534 0.084
Ti 0.130 0.260 0.453
Ti 0.870 0.740 0.953
N 0.344 0.687 0.250
N 0.233 0.466 0.916
Ti 0.395 0.790 0.369
N 0.767 0.534 0.416
N 0.656 0.313 0.750
Pr 0.653 0.307 0.250
N 0.968 0.935 0.651
N 0.032 0.065 0.349
Ti 0.130 0.260 0.047
Ti 0.605 0.210 0.631
N 0.032 0.065 0.151
N 0.500 0.000 0.500

***

! PrTiN2 (GGA-PBE, optimized geometry); values from VASP
! Raw formation energy, eV per atom: -1.36
! Space-group type: Pnma, No. 62
! Total DFT energy (no corrections), eV/cell: -139.1
&SYSTEM
  ibrav = 0, nat = 16, ntyp = 3
/
ATOMIC_SPECIES
Ti 47.87 Ti.upf
N 14.01 N.upf
Pr 140.91 Pr.upf
CELL_PARAMETERS angstrom
-2.865 -1.426 2.378
-2.114 -3.084 -4.395
6.099 -7.902 2.610
ATOMIC_POSITIONS crystal
Ti 0.750 0.497 0.105
Ti 0.750 0.997 0.395
N 0.750 0.744 0.236
N 0.750 0.063 0.589
N 0.250 0.756 0.736
N 0.250 0.937 0.411
Ti 0.250 0.003 0.605
N 0.750 0.563 0.911
N 0.250 0.437 0.089
Pr 0.250 0.523 0.337
Pr 0.750 0.477 0.663
Pr 0.750 0.977 0.837
Ti 0.250 0.503 0.895
N 0.250 0.256 0.764
N 0.750 0.244 0.264
Pr 0.250 0.023 0.163

***

! PrTmTiN3 (GGA-PBE, optimized geometry); values from VASP
! Raw formation energy, eV per atom: -1.32
! Space-group type: P2_1/m, No. 11
! Total DFT energy (no corrections), eV/cell: -100.1
&SYSTEM
  ibrav = 0, nat = 12, ntyp = 4
/
ATOMIC_SPECIES
N 14.01 N.upf
Tm 168.93 Tm.upf
Pr 140.91 Pr.upf
Ti 47.87 Ti.upf
CELL_PARAMETERS angstrom
-1.579 -2.871 1.323
3.641 0.842 6.175
-6.281 4.215 1.651
ATOMIC_POSITIONS crystal
N 0.750 0.174 0.514
Tm 0.750 0.363 0.850
N 0.250 0.119 0.849
Pr 0.250 0.176 0.180
Pr 0.750 0.824 0.820
Tm 0.250 0.637 0.150
N 0.250 0.826 0.486
N 0.750 0.414 0.142
Ti 0.750 0.894 0.402
N 0.750 0.881 0.151
N 0.250 0.586 0.858
Ti 0.250 0.106 0.598

***

! Pr2TiWN5 (GGA-PBE, optimized geometry); values from VASP
! Raw formation energy, eV per atom: -1.10
! Space-group type: Cmc2_1, No. 36
! Total DFT energy (no corrections), eV/cell: -164.0
&SYSTEM
  ibrav = 0, nat = 18, ntyp = 4
/
ATOMIC_SPECIES
N 14.01 N.upf
Pr 140.91 Pr.upf
W 183.84 W.upf
Ti 47.87 Ti.upf
CELL_PARAMETERS angstrom
-0.817 -3.275 0.392
2.337 0.388 -6.611
9.815 -2.049 3.349
ATOMIC_POSITIONS crystal
N 0.639 0.277 0.504
Pr 0.111 0.222 0.679
N 0.492 0.984 0.788
N 0.322 0.643 0.389
N 0.950 0.901 0.540
N 0.050 0.099 0.040
N 0.508 0.016 0.288
W 0.543 0.086 0.951
N 0.678 0.357 0.889
N 0.716 0.432 0.148
Ti 0.222 0.444 0.022
W 0.457 0.914 0.451
N 0.284 0.568 0.648
Ti 0.778 0.556 0.522
Pr 0.148 0.296 0.302
N 0.361 0.723 0.004
Pr 0.852 0.704 0.802
Pr 0.889 0.778 0.179

***

! PrY2TiN4 (GGA-PBE, optimized geometry); values from VASP
! Raw formation energy, eV per atom: -1.45
! Space-group type: Cmcm, No. 63
! Total DFT energy (no corrections), eV/cell: -141.1
&SYSTEM
  ibrav = 0, nat = 16, ntyp = 4
/
ATOMIC_SPECIES
N 14.01 N.upf
Pr 140.91 Pr.upf
Ti 47.87 Ti.upf
Y 88.91 Y.upf
CELL_PARAMETERS angstrom
3.436 0.000 0.000
-1.718 5.943 0.000
0.000 0.000 11.899
ATOMIC_POSITIONS crystal
N 0.738 0.475 0.876
N 0.262 0.525 0.376
N 0.427 0.855 0.750
Pr 0.096 0.192 0.750
Ti 0.833 0.666 0.750
N 0.738 0.475 0.624
Ti 0.167 0.334 0.250
Y 0.370 0.741 0.540
Y 0.370 0.741 0.960
N 0.573 0.145 0.250
N 0.000 0.000 0.500
Y 0.630 0.259 0.040
N 0.262 0.525 0.124
Pr 0.904 0.808 0.250
Y 0.630 0.259 0.460
N 0.000 0.000 0.000

***

! PrZrTiN3 (GGA-PBE, optimized geometry); values from VASP
! Raw formation energy, eV per atom: -1.27
! Space-group type: P2_1/m, No. 11
! Total DFT energy (no corrections), eV/cell: -107.6
&SYSTEM
  ibrav = 0, nat = 12, ntyp = 4
/
ATOMIC_SPECIES
N 14.01 N.upf
Pr 140.91 Pr.upf
Ti 47.87 Ti.upf
Zr 91.22 Zr.upf
CELL_PARAMETERS angstrom
-0.560 -2.330 2.570
1.353 -5.197 -4.416
7.336 2.003 3.415
ATOMIC_POSITIONS crystal
N 0.250 0.561 0.858
N 0.250 0.105 0.857
Pr 0.250 0.189 0.161
N 0.250 0.824 0.433
Pr 0.750 0.811 0.839
Ti 0.750 0.913 0.383
Ti 0.250 0.087 0.617
Zr 0.750 0.346 0.864
N 0.750 0.176 0.567
Zr 0.250 0.654 0.136
N 0.750 0.439 0.142
N 0.750 0.895 0.143

***

! Pr3Tl2N (GGA-PBE, optimized geometry); values from VASP
! Raw formation energy, eV per atom: -0.55
! Space-group type: C2/c, No. 15
! Total DFT energy (no corrections), eV/cell: -61.4
&SYSTEM
  ibrav = 0, nat = 12, ntyp = 3
/
ATOMIC_SPECIES
Tl 204.38 Tl.upf
Pr 140.91 Pr.upf
N 14.01 N.upf
CELL_PARAMETERS angstrom
5.775 0.000 0.000
0.000 7.274 -0.006
-2.887 -1.828 7.797
ATOMIC_POSITIONS crystal
Tl 0.296 0.401 0.598
Tl 0.302 0.901 0.598
Pr 0.106 0.055 0.216
N 0.002 0.250 0.000
Pr 0.111 0.555 0.216
Tl 0.704 0.599 0.402
Tl 0.698 0.099 0.402
N 0.998 0.750 0.000
Pr 0.894 0.945 0.784
Pr 0.499 0.250 0.000
Pr 0.889 0.445 0.784
Pr 0.501 0.750 0.000

***

! Pr4Tl2N (GGA-PBE, optimized geometry); values from VASP
! Raw formation energy, eV per atom: -0.33
! Space-group type: Cmmm, No. 65
! Total DFT energy (no corrections), eV/cell: -34.5
&SYSTEM
  ibrav = 0, nat = 7, ntyp = 3
/
ATOMIC_SPECIES
N 14.01 N.upf
Pr 140.91 Pr.upf
Tl 204.38 Tl.upf
CELL_PARAMETERS angstrom
3.555 0.000 0.000
0.000 4.864 -1.840
0.000 1.893 12.354
ATOMIC_POSITIONS crystal
N 0.000 0.500 0.000
Pr 0.500 0.433 0.866
Pr 0.000 0.703 0.406
Tl 0.500 0.841 0.681
Tl 0.500 0.159 0.319
Pr 0.500 0.567 0.134
Pr 0.000 0.297 0.594

***

! Pr4TlN (GGA-PBE, optimized geometry); values from VASP
! Raw formation energy, eV per atom: -0.52
! Space-group type: P-1, No. 2
! Total DFT energy (no corrections), eV/cell: -65.8
&SYSTEM
  ibrav = 0, nat = 12, ntyp = 3
/
ATOMIC_SPECIES
Pr 140.91 Pr.upf
Tl 204.38 Tl.upf
N 14.01 N.upf
CELL_PARAMETERS angstrom
5.989 -0.002 0.001
-0.002 7.470 0.271
-2.991 -2.793 7.617
ATOMIC_POSITIONS crystal
Pr 0.791 0.307 0.619
Pr 0.209 0.693 0.381
Tl 0.038 0.250 0.000
Pr 0.424 0.077 0.778
Pr 0.827 0.807 0.619
N 0.500 0.000 0.500
Pr 0.354 0.578 0.778
Tl 0.962 0.750 0.000
N 0.000 0.500 0.500
Pr 0.576 0.923 0.222
Pr 0.646 0.422 0.222
Pr 0.173 0.193 0.381

***

! Pr12Tl3N5 (GGA-PBE, optimized geometry); values from VASP
! Raw formation energy, eV per atom: -0.68
! Space-group type: Ia-3d, No. 230
! Total DFT energy (no corrections), eV/cell: -478.4
&SYSTEM
  ibrav = 0, nat = 80, ntyp = 3
/
ATOMIC_SPECIES
Pr 140.91 Pr.upf
N 14.01 N.upf
Tl 204.38 Tl.upf
CELL_PARAMETERS angstrom
14.229 0.000 0.000
-4.743 13.415 0.000
-4.743 -6.707 11.618
ATOMIC_POSITIONS crystal
Pr 0.391 0.988 0.803
Pr 0.803 0.488 0.391
Pr 0.412 0.109 0.597
N 0.875 0.250 0.625
Tl 0.250 0.125 0.375
Tl 0.875 0.125 0.250
Pr 0.697 0.109 0.012
Pr 0.088 0.903 0.391
Tl 0.750 0.375 0.125
Pr 0.903 0.815 0.512
Tl 0.125 0.875 0.750
Pr 0.609 0.597 0.912
Pr 0.097 0.185 0.488
N 0.750 0.625 0.375
Pr 0.109 0.697 0.512
N 0.000 0.000 0.500
Pr 0.512 0.315 0.903
N 0.000 0.000 0.000
Tl 0.250 0.625 0.875
Pr 0.197 0.685 0.088
Tl 0.375 0.750 0.625
Pr 0.303 0.891 0.988
Pr 0.685 0.488 0.597
Pr 0.412 0.303 0.315
Pr 0.597 0.988 0.685
Pr 0.609 0.012 0.197
Tl 0.625 0.375 0.750
Pr 0.403 0.391 0.588
N 0.375 0.125 0.750
Pr 0.891 0.588 0.903
Pr 0.303 0.412 0.815
Pr 0.815 0.912 0.303
N 0.500 0.000 0.000
Pr 0.012 0.609 0.697
N 0.250 0.875 0.125
N 0.500 0.500 0.000
Tl 0.875 0.750 0.125
Pr 0.097 0.912 0.109
N 0.375 0.250 0.125
Pr 0.815 0.903 0.012
Tl 0.625 0.250 0.375
Pr 0.185 0.088 0.697
Pr 0.912 0.815 0.803
Pr 0.315 0.803 0.412
Pr 0.588 0.697 0.685
Pr 0.903 0.088 0.891
N 0.625 0.875 0.250
Tl 0.750 0.875 0.625
N 0.750 0.125 0.875
Pr 0.088 0.185 0.197
N 0.000 0.500 0.000
Pr 0.912 0.097 0.609
Pr 0.588 0.891 0.403
Pr 0.315 0.512 0.403
N 0.500 0.500 0.500
N 0.250 0.375 0.625
Pr 0.197 0.512 0.609
N 0.125 0.750 0.375
Pr 0.488 0.803 0.891
Pr 0.012 0.403 0.815
N 0.500 0.000 0.500
N 0.125 0.375 0.250
Pr 0.597 0.609 0.412
Pr 0.988 0.391 0.303
Pr 0.685 0.197 0.588
Pr 0.988 0.597 0.185
Tl 0.375 0.625 0.250
N 0.875 0.625 0.750
Pr 0.697 0.588 0.185
Pr 0.891 0.303 0.488
Pr 0.512 0.197 0.109
Pr 0.803 0.315 0.912
N 0.625 0.750 0.875
Tl 0.125 0.250 0.875
Pr 0.185 0.097 0.988
N 0.000 0.500 0.500
Pr 0.488 0.685 0.097
Pr 0.403 0.012 0.315
Pr 0.109 0.412 0.097
Pr 0.391 0.403 0.088